Below is a geometry-optimized Cs2As2Se3 structure, with properties calculated at the PBE level.

a b c (Å): 4.7822 7.4730 7.4943
angles (deg): 108.74 108.61 90.00
Fractional coordinates of all 7 atoms:
Cs1 0.6067 0.7759 0.2134
Se1 0.7047 0.3026 0.4095
Se2 0.0000 0.0000 0.0000
Cs2 0.3933 0.2241 0.7866
As1 0.8593 0.6560 0.7186
Se3 0.2953 0.6974 0.5905
As2 0.1407 0.3440 0.2814

Computed properties:
Its total energy is -3.564 eV/atom. As for the spin magnetization: 0.0 μB per formula unit.